NiMo2AsF | Alexandria | PBE with a Hubbard U | optimized geometry; calculated density = 6.084 g/cm3; density of states at the Fermi level = 1.65 states/eV per cell; magnetic moment = 7.78 Bohr magnetons per cell; raw total energy = -0.306 Ry per atom
1.0
4.886 0.000 0.000
0.000 4.886 0.000
0.000 0.000 3.938
Ni Mo As F
1 2 1 1
Cartesian
0.000 0.000 0.000
0.000 2.443 1.969
2.443 0.000 1.969
2.443 2.443 0.000
0.000 0.000 1.969